{"formula": "YGa4NiPd2", "functional": "PBE", "state": "relaxed", "lattice_angstrom": [[2.124, 1.226, 8.597], [-2.124, 1.226, 8.597], [0.000, -2.453, 8.597]], "species": ["Y", "Ga", "Ga", "Ga", "Ga", "Ni", "Pd", "Pd"], "frac_coords": [[0.000, 0.000, 0.000], [0.135, 0.135, 0.135], [0.400, 0.400, 0.400], [0.600, 0.600, 0.600], [0.865, 0.865, 0.865], [0.500, 0.500, 0.500], [0.240, 0.240, 0.240], [0.760, 0.760, 0.760]], "formation_energy_ev_per_atom": -0.589, "e_tot_ev_per_atom": -4.9317}


{"formula": "LaTeHI2", "functional": "PBE", "state": "relaxed", "lattice_angstrom": [[6.332, 0.000, 0.000], [0.000, 6.332, 0.000], [0.000, 0.000, 6.320]], "species": ["La", "Te", "H", "I", "I"], "frac_coords": [[0.000, 0.000, 0.000], [0.000, 0.000, 0.500], [0.500, 0.500, 0.500], [0.000, 0.500, 0.000], [0.500, 0.000, 0.000]], "polymorph_energy_mev_per_atom": 37, "e_tot_ev_per_atom": -3.2387}


{"formula": "PrU2Tl2Se6", "functional": "PBE", "state": "relaxed", "lattice_angstrom": [[3.647, -6.348, 0.000], [3.647, 6.348, 0.000], [-2.368, 0.000, 7.816]], "species": ["Pr", "U", "U", "Tl", "Tl", "Se", "Se", "Se", "Se", "Se", "Se"], "frac_coords": [[0.000, 0.000, 0.000], [0.334, 0.666, 0.000], [0.666, 0.334, 0.000], [0.163, 0.837, 0.500], [0.837, 0.163, 0.500], [0.064, 0.412, 0.204], [0.280, 0.280, 0.795], [0.412, 0.064, 0.204], [0.588, 0.936, 0.796], [0.720, 0.720, 0.205], [0.936, 0.588, 0.796]], "e_form_raw_ev_per_fu": -12.57, "e_tot_ev_per_atom": -5.9603}


{"formula": "AlCrMoRu2", "functional": "PBE", "state": "relaxed", "lattice_angstrom": [[4.307, 0.000, 0.000], [0.000, 4.307, 0.000], [0.000, 0.000, 4.504]], "species": ["Al", "Cr", "Mo", "Ru", "Ru"], "frac_coords": [[0.000, 0.000, 0.000], [0.500, 0.500, 0.500], [0.000, 0.000, 0.500], [0.000, 0.500, 0.000], [0.500, 0.000, 0.000]], "formation_energy_ev_per_atom": 1.452, "e_tot_ev_per_atom": -7.0978}


{"formula": "Sm6ZrO12", "functional": "PBE", "state": "relaxed", "lattice_angstrom": [[5.090, 2.938, 3.203], [-5.090, 2.938, 3.203], [0.000, -5.877, 3.203]], "species": ["Sm", "Sm", "Sm", "Sm", "Sm", "Sm", "Zr", "O", "O", "O", "O", "O", "O", "O", "O", "O", "O", "O", "O"], "frac_coords": [[0.110, 0.637, 0.792], [0.208, 0.890, 0.363], [0.363, 0.208, 0.890], [0.637, 0.792, 0.110], [0.792, 0.110, 0.637], [0.890, 0.363, 0.208], [0.500, 0.500, 0.500], [0.058, 0.322, 0.917], [0.083, 0.942, 0.678], [0.191, 0.553, 0.433], [0.322, 0.917, 0.058], [0.433, 0.191, 0.553], [0.447, 0.567, 0.809], [0.553, 0.433, 0.191], [0.567, 0.809, 0.447], [0.678, 0.083, 0.942], [0.809, 0.447, 0.567], [0.917, 0.058, 0.322], [0.942, 0.678, 0.083]], "e_form_raw_ev_per_fu": -60.96, "e_tot_ev_per_atom": -8.2799}


{"formula": "Hg7Mo", "functional": "PBE", "state": "relaxed", "lattice_angstrom": [[0.000, 4.444, 4.444], [4.444, 0.000, 4.444], [4.444, 4.444, 0.000]], "species": ["Hg", "Hg", "Hg", "Hg", "Hg", "Hg", "Hg", "Mo"], "frac_coords": [[0.000, 0.000, 0.000], [0.000, 0.000, 0.500], [0.000, 0.500, 0.000], [0.000, 0.500, 0.500], [0.500, 0.000, 0.000], [0.500, 0.000, 0.500], [0.500, 0.500, 0.000], [0.500, 0.500, 0.500]], "formation_energy_ev_per_atom": 0.334, "e_tot_ev_per_atom": -1.2838}


{"formula": "CsHfSCl2", "functional": "PBE", "state": "relaxed", "lattice_angstrom": [[6.006, 0.000, 0.000], [0.000, 6.006, 0.000], [0.000, 0.000, 5.440]], "species": ["Cs", "Hf", "S", "Cl", "Cl"], "frac_coords": [[0.000, 0.000, 0.000], [0.500, 0.500, 0.500], [0.000, 0.000, 0.500], [0.000, 0.500, 0.000], [0.500, 0.000, 0.000]], "polymorph_energy_mev_per_atom": 2260, "e_form_raw_ev_per_fu": 3.64, "e_tot_ev_per_atom": -2.9970}


{"formula": "Ba8IrO2", "functional": "PBE", "state": "relaxed", "lattice_angstrom": [[7.351, -5.128, 0.000], [7.351, 5.128, 0.000], [-0.246, 0.000, 7.408]], "species": ["Ba", "Ba", "Ba", "Ba", "Ba", "Ba", "Ba", "Ba", "Ir", "O", "O"], "frac_coords": [[0.087, 0.701, 0.726], [0.164, 0.164, 0.789], [0.299, 0.913, 0.274], [0.355, 0.355, 0.224], [0.645, 0.645, 0.776], [0.701, 0.087, 0.726], [0.836, 0.836, 0.211], [0.913, 0.299, 0.274], [0.000, 0.000, 0.500], [0.194, 0.194, 0.137], [0.806, 0.806, 0.863]], "e_form_raw_ev_per_fu": -10.32, "e_tot_ev_per_atom": -4.0433}


{"formula": "MoBrN2", "functional": "PBE", "state": "relaxed", "lattice_angstrom": [[0.000, 4.290, 4.290], [4.290, 0.000, 4.290], [4.290, 4.290, 0.000]], "species": ["Mo", "Mo", "Br", "Br", "N", "N", "N", "N"], "frac_coords": [[0.125, 0.125, 0.125], [0.875, 0.875, 0.875], [0.375, 0.375, 0.375], [0.625, 0.625, 0.625], [0.000, 0.000, 0.000], [0.000, 0.000, 0.500], [0.000, 0.500, 0.000], [0.500, 0.000, 0.000]], "polymorph_energy_mev_per_atom": 0, "e_form_raw_ev_per_fu": 0.84, "e_tot_ev_per_atom": -7.0796}


{"formula": "Be2BiSbBr", "functional": "PBE", "state": "relaxed", "lattice_angstrom": [[4.900, 0.000, 0.000], [0.000, 4.900, 0.000], [0.000, 0.000, 5.731]], "species": ["Be", "Be", "Bi", "Sb", "Br"], "frac_coords": [[0.000, 0.500, 0.000], [0.500, 0.000, 0.000], [0.000, 0.000, 0.000], [0.500, 0.500, 0.500], [0.000, 0.000, 0.500]], "e_form_raw_ev_per_fu": 5.23, "e_tot_ev_per_atom": -2.3801}